No. 1
Material: NaTb4DySe8
Method: DFT, PBE
State: optimized geometry

The density of states at the Fermi level is 0.00 states/eV/cell. As for the uncorrected formation energy: -24.82 eV/f.u.

It has space group R3m (No. 160, hexagonal axes), with a = 8.4926 Å, b = 8.4926 Å, c = 20.7645 Å, α = 90.00°, β = 90.00° and γ = 120.00°. The inequivalent atoms are Na at (0.0000, 0.0000, 0.0000), Tb at (0.0000, 0.0000, 0.7503), Tb at (0.0129, 0.5064, 0.8768), Dy at (0.0000, 0.0000, 0.3702), Se at (0.0000, 0.0000, 0.1350), Se at (0.0000, 0.0000, 0.6171), Se at (0.0225, 0.5112, 0.1275) and Se at (0.1801, 0.3601, 0.9555).

***

No. 2
Material: BaTa2Ni
Method: DFT, PBE
State: optimized geometry

The density of states at the Fermi level is 8.40 states/eV/cell. The energy above the most stable polymorph in this dataset comes out at 4.788 kcal/mol of atoms. The formation enthalpy at 0 K comes out at 0.62 eV per atom.

It has space group Cm (No. 8), with a = 9.683 Å, b = 3.176 Å, c = 6.709 Å, α = 90.00°, β = 100.72° and γ = 90.00°. The inequivalent atoms are Ba at (0.000, 0.000, 0.000), Ta at (0.038, 0.500, 0.509), Ta at (0.303, 0.500, 0.425) and Ni at (0.242, 0.000, 0.678).

***

No. 3
Material: ScAsPbSe2
Method: DFT, PBE
State: optimized geometry

The density of states at the Fermi level is 4.64 states/eV/cell. As for the uncorrected formation energy: -2.11 eV/f.u. The energy above the most stable polymorph in this dataset comes out at 0.000 kcal/mol of atoms.

It has space group P4/mmm (No. 123), with a = 5.165 Å, b = 5.165 Å, c = 5.164 Å, α = 90.00°, β = 90.00° and γ = 90.00°. The inequivalent atoms are Sc at (0.000, 0.000, 0.000), As at (0.000, 0.000, 0.500), Pb at (0.500, 0.500, 0.500) and Se at (0.000, 0.500, 0.000).

***

No. 4
Material: CsK8O2
Method: DFT, PBE
State: optimized geometry

The density of states at the Fermi level is 8.57 states/eV/cell. As for the uncorrected formation energy: -6.15 eV/f.u.

It has space group C2/m (No. 12), with a = 9.494 Å, b = 13.122 Å, c = 9.282 Å, α = 90.00°, β = 95.76° and γ = 90.00°. The inequivalent atoms are Cs at (0.000, 0.000, 0.000), K at (0.116, 0.500, 0.217), K at (0.120, 0.200, 0.727), K at (0.154, 0.000, 0.424) and O at (0.114, 0.000, 0.705).